DFT (GGA+U) results for an optimized crystal structure of VRu3F.

Properties
As for the polymorph energy (0 for the lowest one): 0 meV per atom.

a b c (Å): 4.183 4.183 4.183
angles (deg): 90.00 90.00 90.00
Positions (direct):
V: 0.000 0.000 0.000
Ru: 0.000 0.500 0.500
Ru: 0.500 0.000 0.500
Ru: 0.500 0.500 0.000
F: 0.500 0.500 0.500